Computed, not measured: an optimized crystal structure of KZnOs2 at the PBE level of DFT.

Properties
**Total moment**: 0.19 Bohr magnetons per cell
**VASP energy**: -20.25 eV per formula unit
**Density of states at the Fermi level**: 3.82 states/eV/f.u.

abc: 2.6667 4.9065 5.3208
angles: 90.00 90.00 90.00
Space group Pmmm (No. 47)
Unique sites:
K  0.0000  0.0000  0.0000
Zn  0.5000  0.5000  0.0000
Os  0.0000  0.5000  0.5000
Os  0.5000  0.0000  0.5000

Computed, not measured: an optimized crystal structure of KZnOs2 at the PBE level of DFT.

Properties
**Total moment**: 1.00 Bohr magnetons per cell
**VASP energy**: -20.10 eV per formula unit
**Density of states at the Fermi level**: 4.55 states/eV/f.u.

abc: 3.1775 3.1775 7.9795
angles: 90.00 90.00 90.00
Space group P4/mmm (No. 123)
Unique sites:
K  0.0000  0.0000  0.0000
Zn  0.0000  0.0000  0.5000
Os  0.5000  0.5000  0.3451

Computed, not measured: an optimized crystal structure of K2ZnOs at the PBE level of DFT.

Properties
**Total moment**: 0.00 Bohr magnetons per cell
**VASP energy**: -10.07 eV per formula unit
**Density of states at the Fermi level**: 2.17 states/eV/f.u.

abc: 4.0005 4.0005 5.4667
angles: 90.00 90.00 90.00
Space group P4/mmm (No. 123)
Unique sites:
K  0.0000  0.5000  0.0000
Zn  0.0000  0.0000  0.5000
Os  0.5000  0.5000  0.5000

Computed, not measured: an optimized crystal structure of K2ZnOs at the PBE level of DFT.

Properties
**Total moment**: 0.00 Bohr magnetons per cell
**VASP energy**: -10.09 eV per formula unit
**Density of states at the Fermi level**: 3.26 states/eV/f.u.

abc: 4.0107 4.0107 10.9094
angles: 90.00 90.00 90.00
Space group I4/mmm (No. 139)
Unique sites:
K  0.0000  0.5000  0.2500
Zn  0.0000  0.0000  0.0000
Os  0.0000  0.0000  0.5000

no.,ΔH_f (0 K) (kJ/mol of atoms)
1,110.4
2,114.1
3,111.7
4,111.2